VASP calculation (PBE) on crystalline KAl2NiCl8 at its relaxed geometry.

Unit cell a=6.2872 b=6.2872 c=27.9566 alpha=90.00 beta=90.00 gamma=120.00
With the nearest neighbours (Å) after each atom.
Space group R-3 (No. 148, hexagonal axes)
Unique sites:
K1 0.0000 0.0000 0.0000 (multiplicity 3)  12 Cl 3.65-3.83
Al1 0.0000 0.0000 0.2431 (multiplicity 6)  4 Cl 2.17
Ni1 0.0000 0.0000 0.5000 (multiplicity 3)  6 Cl 2.54
Cl1 0.0000 0.0000 0.3205 (multiplicity 6)  1 Al 2.17
Cl2 0.0030 0.3469 0.1127 (multiplicity 18)  1 Al 2.17

Computed properties:
Energy relative to the elements, uncorrected = -1338 meV per atom
V = 26.584 Å³ per atom